<i>
A plane-wave DFT calculation with PBE-GGA was carried out for an optimized crystal structure of PuNpB4.

Cell lengths 4.035, 5.990, 11.553 Å; angles 90.00, 90.00, 90.00 degrees
Fractional positions:
B: 0.500 0.294 0.313
B: 0.500 0.625 0.947
B: 0.500 0.370 0.469
B: 0.500 0.125 0.553
B: 0.500 0.875 0.447
B: 0.500 0.375 0.053
B: 0.500 0.130 0.969
B: 0.500 0.870 0.031
B: 0.500 0.523 0.805
B: 0.500 0.977 0.305
B: 0.500 0.630 0.531
B: 0.500 0.706 0.687
B: 0.500 0.206 0.813
B: 0.500 0.023 0.695
B: 0.500 0.794 0.187
B: 0.500 0.477 0.195
Pu: 0.000 0.884 0.843
Pu: 0.000 0.116 0.157
Pu: 0.000 0.616 0.343
Pu: 0.000 0.384 0.657
Np: 0.000 0.376 0.920
Np: 0.000 0.624 0.080
Np: 0.000 0.124 0.420
Np: 0.000 0.876 0.580

Calculated values
magnetic moment = 4.49 μB per formula unit
Fermi-level density of states = 1.370 states/eV per atom
calculated density = 12.5 g cm⁻³

<ii>
A plane-wave DFT calculation with PBE-GGA was carried out for an optimized crystal structure of PuNpB4.

Cell lengths 4.533, 4.533, 4.533 Å; angles 60.00, 60.00, 60.00 degrees
Fractional positions:
B: 0.652 0.652 0.652
B: 0.652 0.652 0.043
B: 0.652 0.043 0.652
B: 0.043 0.652 0.652
Pu: 0.000 0.000 0.000
Np: 0.250 0.250 0.250

Calculated values
magnetic moment = 2.37 μB per formula unit
Fermi-level density of states = 0.951 states/eV per atom
calculated density = 13.2 g cm⁻³

Most stable: <i>

<i>
A plane-wave DFT calculation with PBE-GGA was carried out for an optimized crystal structure of CdRh2C.

Cell lengths 3.125, 3.125, 6.943 Å; angles 76.99, 76.99, 60.00 degrees
Fractional positions:
Rh: 0.220 0.220 0.341
Rh: 0.780 0.780 0.659
Cd: 0.000 0.000 0.000
C: 0.500 0.500 0.500

Calculated values
magnetic moment = 0.00 μB per formula unit
Fermi-level density of states = 0.349 states/eV per atom
calculated density = 9.7 g cm⁻³

<ii>
A plane-wave DFT calculation with PBE-GGA was carried out for an optimized crystal structure of CdRh2C.

Cell lengths 6.396, 6.396, 5.389 Å; angles 53.60, 53.60, 90.00 degrees
Fractional positions:
Rh: 0.875 0.758 0.750
Rh: 0.375 0.492 0.750
Rh: 0.508 0.125 0.250
Rh: 0.242 0.625 0.250
Cd: 0.750 0.250 0.500
Cd: 0.000 0.000 0.000
C: 0.250 0.750 0.500
C: 0.500 0.500 0.000

Calculated values
magnetic moment = 0.00 μB per formula unit
Fermi-level density of states = 0.204 states/eV per atom
calculated density = 9.2 g cm⁻³

Most stable: <i>

<i>
A plane-wave DFT calculation with PBE-GGA was carried out for an optimized crystal structure of InPbCl.

Cell lengths 7.323, 7.323, 7.323 Å; angles 152.62, 152.62, 39.11 degrees
Fractional positions:
In: 0.345 0.345 0.000
Pb: 0.669 0.669 0.000
Cl: 0.986 0.986 0.000

Calculated values
magnetic moment = 0.00 μB per formula unit
Fermi-level density of states = 0.564 states/eV per atom
calculated density = 7.2 g cm⁻³

<ii>
A plane-wave DFT calculation with PBE-GGA was carried out for an optimized crystal structure of InPbCl.

Cell lengths 5.956, 5.956, 6.454 Å; angles 76.80, 76.80, 52.45 degrees
Fractional positions:
In: 0.594 0.594 0.343
In: 0.159 0.159 0.965
Cl: 0.522 0.522 0.786
Cl: 0.231 0.231 0.522
Pb: 0.848 0.848 0.925
Pb: 0.905 0.905 0.382

Calculated values
magnetic moment = 0.00 μB per formula unit
Fermi-level density of states = 0.405 states/eV per atom
calculated density = 6.8 g cm⁻³

Most stable: <ii>

<i>
A plane-wave DFT calculation with PBE-GGA was carried out for an optimized crystal structure of ZrGa2Ag.

Cell lengths 3.999, 4.235, 4.235 Å; angles 90.00, 90.00, 90.00 degrees
Fractional positions:
Ga: 0.000 0.000 0.500
Ga: 0.000 0.500 0.000
Ag: 0.500 0.000 0.000
Zr: 0.500 0.500 0.500

Calculated values
magnetic moment = 0.00 μB per formula unit
Fermi-level density of states = 0.422 states/eV per atom
calculated density = 7.8 g cm⁻³

<ii>
A plane-wave DFT calculation with PBE-GGA was carried out for an optimized crystal structure of ZrGa2Ag.

Cell lengths 7.303, 7.303, 5.946 Å; angles 52.11, 52.11, 90.00 degrees
Fractional positions:
Ga: 0.102 0.625 0.250
Ga: 0.875 0.898 0.750
Ga: 0.375 0.352 0.750
Ga: 0.648 0.125 0.250
Ag: 0.000 0.000 0.000
Ag: 0.750 0.250 0.500
Zr: 0.500 0.500 0.000
Zr: 0.250 0.750 0.500

Calculated values
magnetic moment = 0.00 μB per formula unit
Fermi-level density of states = 0.720 states/eV per atom
calculated density = 7.2 g cm⁻³

Most stable: <i>